1.
7
Lattice="-0.5388 3.3606 -0.9668 -4.0102 -1.0779 -1.5118 -1.2432 2.1638 8.2138" Properties=species:S:1:pos:R:3 comment="ZrTa4Ge2 PBE relaxed" dft_energy_ev_per_cell=-66.93 total_magnetization_mub_per_fu=0.0 formation_energy_mev_per_atom=-248.3 pbc="T T T"
Ta -4.3961 2.2026 3.6318
Ta -2.0373 1.0191 4.6777
Ta -3.2160 0.0668 2.0243
Ta -1.3961 2.2438 2.1034
Ge -3.0521 3.0722 5.9056
Ge -2.7401 1.3742 -0.1704
Zr 0.0000 0.0000 0.0000

=====

2.
12
Lattice="-3.5499 3.6809 2.7927 -5.1180 -3.3387 -2.1051 4.6232 -4.1675 5.2912" Properties=species:S:1:pos:R:3 comment="Pr2TiZnIr2 PBE relaxed" dft_energy_ev_per_cell=-80.01 total_magnetization_mub_per_fu=0.0 formation_energy_mev_per_atom=-592.2 pbc="T T T"
Ir -3.4553 -1.5169 0.8850
Ir -2.5320 1.8484 3.2243
Ir -0.5893 -2.3084 5.0940
Ir -1.5127 -5.6737 2.7547
Pr -0.7555 -0.4960 2.6236
Pr -5.1531 -0.2589 3.0175
Pr 1.1085 -3.5664 2.9614
Pr -3.2891 -3.3293 3.3553
Ti -5.6134 -0.6636 -0.1824
Ti -3.0544 1.0058 0.8701
Zn -1.2795 -0.8347 -0.5263
Zn -3.8385 -2.5040 -1.5788

=====

3.
12
Lattice="-2.9081 1.4133 -4.9980 -4.8216 -2.7242 -2.1832 -3.0579 4.5426 4.5984" Properties=species:S:1:pos:R:3 comment="NaOsSe2O8 PBE relaxed" dft_energy_ev_per_cell=-69.93 e_form_raw_ev_per_fu=-10.7 total_magnetization_mub_per_fu=0.0 pbc="T T T"
O -9.4090 3.3420 -1.4836
O -6.6137 1.3420 -2.5232
O -5.7369 3.9782 -0.5619
O -1.3786 -0.1103 -1.0992
O -5.0507 -0.7465 -2.0210
O -4.1739 1.8897 -0.0597
O -6.6787 1.9417 0.8237
O -4.1089 1.2900 -3.4065
Os 0.0000 0.0000 0.0000
Se -5.1396 2.9117 0.7861
Se -5.6479 0.3200 -3.3689
Na -1.5289 2.2713 2.2992

=====

4.
4
Lattice="-1.9404 2.6776 0.3866 -0.5632 -2.6033 -1.9975 -5.4881 -5.1739 8.2904" Properties=species:S:1:pos:R:3 comment="OsBr2Cl PBE relaxed" dft_energy_ev_per_cell=-14.52 e_above_lowest_polymorph_ev_per_atom=0.471 e_form_raw_ev_per_fu=1.9 total_magnetization_mub_per_fu=0.0 pbc="T T T"
Br -5.0774 -4.7867 7.6700
Br -2.6077 -1.2411 1.2428
Os -5.3473 -3.8238 5.3812
Cl -3.1916 -3.0089 4.8212

=====

5.
3
Lattice="-0.9321 -1.1963 -3.1381 4.4536 -2.1444 -0.5053 -3.7487 -2.5175 2.0732" Properties=species:S:1:pos:R:3 comment="PmInAg PBE relaxed" dft_energy_ev_per_cell=-11.58 e_above_lowest_polymorph_ev_per_atom=0.000 total_magnetization_mub_per_fu=0.0 formation_energy_mev_per_atom=-414.9 pbc="T T T"
Pm -1.6359 -3.1906 -0.8781
In -0.1554 -0.1994 -0.5232
Ag 1.5642 -2.4682 -0.1689

=====

6.
9
Lattice="-0.5197 -0.9237 4.4830 -3.6509 -7.2898 -1.9253 8.5685 -0.7103 -1.5199" Properties=species:S:1:pos:R:3 comment="Tl2SnHg2Te4 PBE relaxed" dft_energy_ev_per_cell=-23.68 e_form_raw_ev_per_fu=-1.8 total_magnetization_mub_per_fu=0.0 pbc="T T T"
Tl 4.4454 -4.5009 1.9547
Tl -0.0475 -4.4229 -0.9168
Te 2.6064 -2.0304 -0.1162
Te 1.7916 -6.8935 1.1541
Te 7.1724 -3.0520 0.2026
Te -2.7744 -5.8718 0.8353
Hg 5.4381 -0.8350 0.4584
Hg -1.0402 -8.0888 0.5795
Sn 0.0000 0.0000 0.0000